*A*
Entry from OQMD: AlCuNiMo after structural relaxation (PBE-GGA).

Values from the calculation:
Crystal system   cubic
Total moment   1.36 μB per formula unit

Structure (extended XYZ):
```
4
Lattice="0.000 2.980 2.980 2.980 0.000 2.980 2.980 2.980 0.000" Properties=species:S:1:pos:R:3 pbc="T T T"
Al 0.000 0.000 0.000
Cu 1.490 1.490 1.490
Ni 4.470 4.470 4.470
Mo 2.980 2.980 2.980
```

*B*
Entry from OQMD: AlCuNiMo after structural relaxation (PBE-GGA).

Values from the calculation:
Crystal system   cubic
Total moment   1.31 μB per formula unit

Structure (extended XYZ):
```
4
Lattice="0.000 2.980 2.980 2.980 0.000 2.980 2.980 2.980 0.000" Properties=species:S:1:pos:R:3 pbc="T T T"
Al 0.000 0.000 0.000
Cu 1.490 1.490 1.490
Ni 2.980 2.980 2.980
Mo 4.469 4.469 4.469
```

Which of them is least stable? Easy: *B*.

*A*
Entry from OQMD: AlZnCuMo after structural relaxation (PBE-GGA).

Values from the calculation:
Crystal system   cubic
Total moment   1.12 μB per formula unit

Structure (extended XYZ):
```
4
Lattice="0.000 3.052 3.052 3.052 0.000 3.052 3.052 3.052 0.000" Properties=species:S:1:pos:R:3 pbc="T T T"
Al 0.000 0.000 0.000
Zn 3.052 3.052 3.052
Cu 1.526 1.526 1.526
Mo 4.579 4.579 4.579
```

*B*
Entry from OQMD: AlZnCuMo after structural relaxation (PBE-GGA).

Values from the calculation:
Crystal system   cubic
Total moment   1.64 μB per formula unit

Structure (extended XYZ):
```
4
Lattice="0.000 3.064 3.064 3.064 0.000 3.064 3.064 3.064 0.000" Properties=species:S:1:pos:R:3 pbc="T T T"
Al 0.000 0.000 0.000
Zn 4.597 4.597 4.597
Cu 1.532 1.532 1.532
Mo 3.064 3.064 3.064
```

Which of them is least stable? Easy: *B*.